Entry from the Alexandria database: a crystal of Cr4Tc3 relaxed with PBEsol (meta-GGA SCAN).

The value obtained for the density of states at the Fermi level is 0.89 states/eV per atom. Its calculated total energy is -178.65 eV per formula unit. Its calculated formation energy is 0.01 eV per atom. Its crystal system is tetragonal.

The space group is I4/mmm (No. 139) and the conventional cell measures 2.876, 2.876 and 20.993 Å, with angles of 90.00, 90.00 and 90.00 degrees. Symmetry generates all atoms from Cr at (0.000, 0.000, 0.074), Cr at (0.000, 0.000, 0.365), Tc at (0.000, 0.000, 0.208) and Tc at (0.000, 0.000, 0.500).